Material: PtRhSeS2
Method: DFT, GGA-PBE
State: relaxed

DOS at the Fermi energy ... 7.25 states/eV per cell
ρ ... 7.08 g/cm³
ΔE_f (raw) ... 724 meV/atom
SG ... P4/mmm (123)
Total DFT energy (no corrections) ... -21.51 eV/cell

POSCAR file:
```
PtRhSeS2
1.0
4.372 0.000 0.000
0.000 5.412 0.000
0.000 0.000 4.372
S Se Rh Pt
2 1 1 1
Direct
0.000 0.000 0.500 S
0.500 0.000 0.000 S
0.500 0.500 0.500 Se
0.000 0.000 0.000 Rh
0.000 0.500 0.000 Pt
```